# BMoO3 (PBE with a Hubbard U, optimized geometry)
# SG	Pm-3m
# size of the total moment	0.0	μB/cell
# VASP energy	-5.98	eV/atom
data_BMoO3
_cell_length_a 3.884
_cell_length_b 3.884
_cell_length_c 3.884
_cell_angle_alpha 90.00
_cell_angle_beta 90.00
_cell_angle_gamma 90.00
_space_group_name_H-M_alt 'P 1'
_space_group_IT_number 1
_space_group_name_Hall 'P 1'
loop_
_atom_site_label
_atom_site_fract_x
_atom_site_fract_y
_atom_site_fract_z
_atom_site_occupancy
B1 0.000 0.000 0.000 1
Mo1 0.500 0.500 0.500 1
O1 0.000 0.500 0.500 1
O2 0.500 0.000 0.500 1
O3 0.500 0.500 0.000 1